The following is a PBE calculation of a geometry-optimized Tb2Sm3Tm6 structure, from the Alexandria database.

Output
* total DFT energy (no corrections): -0.1605 Ha/atom
* ΔE_f: 201 meV per atom
* offset from the most stable computed form: 0.0000 eV/atom

Cell lengths 6.0959, 10.5789, 11.5169 Å; angles 90.00, 100.29, 90.00 degrees
Last column: nearest neighbours and their distance in Å.
Space group C2/m (No. 12)
Asymmetric unit:
Tb  0.0000  0.1664  0.0000 (multiplicity 4)  6 Tm 3.47, 3 Tb 3.52
Sm  0.0000  0.0000  0.5000 (multiplicity 2)  6 Tm 3.51, 6 Sm 3.51-3.55
Sm  0.0000  0.3357  0.5000 (multiplicity 4)  6 Sm 3.48-3.55, 6 Tm 3.49-3.52
Tm  0.2493  0.0000  0.2479 (multiplicity 4)  2 Tb 3.47, 3 Sm 3.49-3.51, 6 Tm 3.52-3.53
Tm  0.2490  0.3334  0.2477 (multiplicity 8)  2 Tb 3.47, 3 Sm 3.51-3.52, 6 Tm 3.52-3.53

=====

The following is a PBE calculation of a geometry-optimized Tb5Sm3Tm2 structure, from the Alexandria database.

Output
* total DFT energy (no corrections): -0.1603 Ha/atom
* ΔE_f: 263 meV per atom
* offset from the most stable computed form: 0.0677 eV/atom

Cell lengths 11.1271, 17.7138, 6.7301 Å; angles 90.00, 90.00, 90.00 degrees
Last column: nearest neighbours and their distance in Å.
Space group Ibam (No. 72)
Asymmetric unit:
Tb  0.0000  0.0000  0.2500 (multiplicity 4)  6 Tb 3.37-3.63, 4 Tm 3.41
Tb  0.0000  0.3188  0.2500 (multiplicity 8)  1 Sm 3.21, 4 Tb 3.33-3.37
Tb  0.1025  0.1699  0.0000 (multiplicity 8)  1 Tm 3.13, 2 Tb 3.33, 1 Sm 3.46
Sm  0.0000  0.5000  0.2500 (multiplicity 4)  4 Tm 3.15, 2 Tb 3.21, 2 Sm 3.37
Sm  0.2088  0.1702  0.5000 (multiplicity 8)  6 Tb 3.46-3.66, 1 Tm 3.51
Tm  0.2365  0.4750  0.5000 (multiplicity 8)  3 Tb 3.13-3.41, 2 Sm 3.15, 2 Tm 3.48

=====

The following is a PBE calculation of a geometry-optimized Tb5Sm2Tm structure, from the Alexandria database.

Output
* total DFT energy (no corrections): -0.1697 Ha/atom
* ΔE_f: 16 meV per atom
* offset from the most stable computed form: 0.0000 eV/atom

Cell lengths 7.1399, 14.2835, 5.0360 Å; angles 90.00, 90.00, 90.00 degrees
Last column: nearest neighbours and their distance in Å.
Space group Pbam (No. 55)
Asymmetric unit:
Tb  0.0000  0.0000  0.0000 (multiplicity 2)  6 Tb 3.56-3.58, 4 Sm 3.56, 2 Tm 3.57
Tb  0.0006  0.2504  0.0000 (multiplicity 4)  7 Tb 3.56-3.58, 1 Tm 3.56, 4 Sm 3.57
Tb  0.2495  0.8752  0.5000 (multiplicity 4)  4 Sm 3.56-3.58, 6 Tb 3.56-3.57, 2 Tm 3.57
Sm  0.2494  0.6246  0.5000 (multiplicity 4)  2 Tm 3.56, 10 Tb 3.56-3.58
Tm  0.0000  0.5000  0.0000 (multiplicity 2)  4 Sm 3.56, 8 Tb 3.56-3.57

=====

The following is a PBE calculation of a geometry-optimized Tb4SmTm5 structure, from the Alexandria database.

Output
* total DFT energy (no corrections): -0.1674 Ha/atom
* ΔE_f: 6 meV per atom
* offset from the most stable computed form: 0.0000 eV/atom

Cell lengths 6.2478, 6.6628, 8.3919 Å; angles 77.69, 68.17, 89.99 degrees
Last column: nearest neighbours and their distance in Å.
Space group P1 (No. 1)
Asymmetric unit:
Tb  0.0000  0.0000  0.0000 (multiplicity 1)  7 Tm 3.47-3.62, 3 Tb 3.50-3.59, 2 Sm 3.62
Tb  0.0350  0.9011  0.5972 (multiplicity 1)  8 Tm 3.48-3.63, 3 Tb 3.49-3.60, 1 Sm 3.51
Tb  0.2339  0.3026  0.1999 (multiplicity 1)  8 Tm 3.48-3.62, 3 Tb 3.49-3.60, 1 Sm 3.50
Tb  0.7990  0.6010  0.3985 (multiplicity 1)  8 Tm 3.49-3.62, 3 Tb 3.49-3.59, 1 Sm 3.60
Sm  0.6006  0.2028  0.7979 (multiplicity 1)  7 Tm 3.48-3.61, 5 Tb 3.50-3.62
Tm  0.2020  0.4026  0.5987 (multiplicity 1)  4 Tm 3.47-3.60, 6 Tb 3.48-3.62, 2 Sm 3.59-3.61
Tm  0.4018  0.8010  0.1982 (multiplicity 1)  4 Tm 3.47-3.60, 7 Tb 3.48-3.62, 1 Sm 3.61
Tm  0.4318  0.7009  0.7993 (multiplicity 1)  5 Tm 3.47-3.61, 2 Sm 3.48-3.50, 5 Tb 3.48-3.63
Tm  0.6323  0.1008  0.3976 (multiplicity 1)  4 Tm 3.48-3.61, 7 Tb 3.48-3.62, 1 Sm 3.50
Tm  0.8333  0.5033  0.9982 (multiplicity 1)  5 Tm 3.47-3.61, 6 Tb 3.47-3.62, 1 Sm 3.49

=====

The following is a PBE calculation of a geometry-optimized Tb4Sm15Tm structure, from the Alexandria database.

Output
* total DFT energy (no corrections): -0.1717 Ha/atom
* ΔE_f: 16 meV per atom

Cell lengths 5.1043, 5.1043, 25.4651 Å; angles 90.00, 90.00, 90.00 degrees
Last column: nearest neighbours and their distance in Å.
Space group P4/mmm (No. 123)
Asymmetric unit:
Tb  0.0000  0.0000  0.1002 (multiplicity 2)  12 Sm 3.61
Tb  0.0000  0.0000  0.3007 (multiplicity 2)  12 Sm 3.61
Sm  0.0000  0.5000  0.0000 (multiplicity 2)  8 Sm 3.61, 4 Tb 3.61
Sm  0.0000  0.5000  0.2004 (multiplicity 4)  8 Sm 3.61, 4 Tb 3.61
Sm  0.0000  0.5000  0.4008 (multiplicity 4)  2 Tm 3.59, 8 Sm 3.59-3.61, 2 Tb 3.61
Sm  0.5000  0.5000  0.1002 (multiplicity 2)  8 Sm 3.61, 4 Tb 3.61
Sm  0.5000  0.5000  0.3008 (multiplicity 2)  8 Sm 3.61, 4 Tb 3.61
Sm  0.5000  0.5000  0.5000 (multiplicity 1)  8 Sm 3.59, 4 Tm 3.61
Tm  0.0000  0.0000  0.5000 (multiplicity 1)  12 Sm 3.59-3.61

=====

The following is a PBE calculation of a geometry-optimized Tb7Sm4Tm structure, from the Alexandria database.

Output
* total DFT energy (no corrections): -0.1675 Ha/atom
* ΔE_f: 88 meV per atom
* offset from the most stable computed form: 0.0000 eV/atom

Cell lengths 6.5323, 6.8278, 9.0986 Å; angles 85.95, 77.30, 82.42 degrees
Last column: nearest neighbours and their distance in Å.
Space group P-1 (No. 2)
Asymmetric unit:
Tb  0.0000  0.0000  0.0000 (multiplicity 1)  4 Sm 3.37-3.65, 2 Tm 3.41, 4 Tb 3.53-3.74
Tb  0.1904  0.6058  0.3845 (multiplicity 2)  5 Tb 3.30-3.62, 5 Sm 3.33-3.67
Tb  0.3155  0.1990  0.6399 (multiplicity 2)  5 Tb 3.39-3.74, 4 Sm 3.47-3.56
Tb  0.4888  0.7467  0.0515 (multiplicity 2)  5 Tb 3.38-3.54, 4 Sm 3.38-3.70, 1 Tm 3.49
Sm  0.1581  0.1162  0.3078 (multiplicity 2)  7 Tb 3.37-3.70, 2 Sm 3.52
Sm  0.3602  0.6919  0.7179 (multiplicity 2)  8 Tb 3.33-3.69, 1 Tm 3.39, 2 Sm 3.52
Tm  0.0000  0.5000  0.0000 (multiplicity 1)  2 Sm 3.39, 4 Tb 3.41-3.49

=====

The following is a PBE calculation of a geometry-optimized Tb3Sm6Tm structure, from the Alexandria database.

Output
* total DFT energy (no corrections): -0.1662 Ha/atom
* ΔE_f: 144 meV per atom
* offset from the most stable computed form: 0.0206 eV/atom

Cell lengths 10.9824, 19.1998, 6.3115 Å; angles 90.00, 90.00, 90.00 degrees
Last column: nearest neighbours and their distance in Å.
Space group Cmc2_1 (No. 36)
Asymmetric unit:
Tb  0.0000  0.1132  0.0000 (multiplicity 4)  7 Sm 3.42-3.74, 1 Tm 3.63, 2 Tb 3.70
Tb  0.1687  0.3871  0.6097 (multiplicity 8)  6 Sm 3.29-3.58, 1 Tm 3.29
Sm  0.0000  0.2225  0.4271 (multiplicity 4)  4 Sm 3.16-3.45, 1 Tm 3.35, 1 Tb 3.42
Sm  0.0000  0.4603  0.1778 (multiplicity 4)  1 Tm 3.35, 4 Tb 3.49-3.58, 2 Sm 3.50
Sm  0.1677  0.0441  0.5281 (multiplicity 8)  4 Tb 3.46-3.74, 5 Sm 3.48-3.77
Sm  0.2348  0.2105  0.7152 (multiplicity 8)  5 Sm 3.16-3.52, 2 Tb 3.29-3.53, 2 Tm 3.35-3.46
Tm  0.0000  0.3018  0.9542 (multiplicity 4)  3 Tb 3.29-3.63, 7 Sm 3.35-3.66

=====

The following is a PBE calculation of a geometry-optimized Tb2SmTm7 structure, from the Alexandria database.

Output
* total DFT energy (no corrections): -0.1515 Ha/atom
* ΔE_f: 404 meV per atom
* offset from the most stable computed form: 0.0000 eV/atom

Cell lengths 5.4754, 11.0068, 11.3397 Å; angles 90.00, 90.00, 90.00 degrees
Last column: nearest neighbours and their distance in Å.
Space group Immm (No. 71)
Asymmetric unit:
Tb  0.0000  0.0000  0.1609 (multiplicity 4)  2 Sm 3.29, 4 Tm 3.38-3.45, 1 Tb 3.65
Sm  0.0000  0.5000  0.5000 (multiplicity 2)  4 Tm 3.27, 4 Tb 3.29
Tm  0.0000  0.0000  0.5000 (multiplicity 2)  8 Tm 3.22-3.31
Tm  0.0000  0.2470  0.3486 (multiplicity 8)  5 Tm 3.22-3.54, 1 Sm 3.27, 1 Tb 3.45
Tm  0.0000  0.5000  0.1637 (multiplicity 4)  4 Tm 3.31-3.49, 2 Tb 3.38

=====

The following is a PBE calculation of a geometry-optimized TbSm8Tm5 structure, from the Alexandria database.

Output
* total DFT energy (no corrections): -0.1606 Ha/atom
* ΔE_f: 254 meV per atom

Cell lengths 9.5843, 9.5843, 10.2163 Å; angles 90.00, 90.00, 90.00 degrees
Last column: nearest neighbours and their distance in Å.
Space group I-4 (No. 82)
Asymmetric unit:
Tb  0.0000  0.0000  0.0000 (multiplicity 2)  4 Sm 3.23
Sm  0.0689  0.8264  0.3466 (multiplicity 8)  5 Tm 3.35-3.59, 3 Sm 3.58-3.64
Sm  0.0902  0.6757  0.0028 (multiplicity 8)  4 Tm 3.16-3.47, 1 Tb 3.23
Tm  0.0000  0.5000  0.2500 (multiplicity 2)  8 Sm 3.16-3.35
Tm  0.1100  0.7045  0.6765 (multiplicity 8)  8 Sm 3.35-3.59, 2 Tm 3.49

=====

Spin magnetization in μB per atom, matching the order above: 0.000, 0.000, 0.000, 0.000, 0.000, 0.000, 0.000, 0.000, 0.000